PrMn2S4 | PBE | relaxed

It has space group Fdd2 (No. 43), with a = 11.704 Å, b = 13.400 Å, c = 7.776 Å, α = 90.00°, β = 90.00° and γ = 90.00°. The inequivalent atoms are Pr at (0.000, 0.000, 0.000), Mn at (0.109, 0.094, 0.596), S at (0.058, 0.124, 0.303) and S at (0.099, 0.410, 0.144).

As for the energy relative to the elements, uncorrected: -1.034 eV/atom. The value obtained for the magnetization is 9.0 μB per formula unit. The calculation puts the raw total energy at -0.24605 Ha/atom.